Density functional theory data (PBE) for an optimized crystal structure of Cd3Bi4Pb2.

The structure in POSCAR format:
```
Cd3Bi4Pb2
1.0
4.652 0.000 0.000
-1.159 4.511 0.000
-1.493 -2.419 13.077
Cd Bi Pb
3 4 2
Direct
0.000 0.000 0.000 Cd
0.343 0.211 0.551 Cd
0.657 0.789 0.449 Cd
0.002 0.347 0.354 Bi
0.326 0.576 0.898 Bi
0.674 0.424 0.102 Bi
0.998 0.653 0.646 Bi
0.321 0.902 0.229 Pb
0.679 0.098 0.771 Pb
```

Results
**Space group**: P-1, No. 2
**Formation energy from the elements**: 0.052 eV/atom

Density functional theory data (PBE) for an optimized crystal structure of TeSe2.

The structure in POSCAR format:
```
TeSe2
1.0
5.306 0.000 0.000
0.000 4.160 0.000
-1.895 0.000 9.008
Te Se
2 4
Direct
0.099 0.000 0.221 Te
0.901 0.500 0.779 Te
0.281 0.910 0.879 Se
0.482 0.404 0.321 Se
0.518 0.904 0.679 Se
0.719 0.410 0.121 Se
```

Results
**Formation energy without anion corrections**: 0.0 eV/f.u.
**ΔE to the lowest computed polymorph**: 13.7 meV/atom
**Space group**: P2_1, No. 4

Density functional theory data (PBE) for an optimized crystal structure of Pu2Ta2S7.

The structure in POSCAR format:
```
Pu2Ta2S7
1.0
-1.804 6.747 4.339
1.804 -6.747 4.339
1.804 6.747 -4.339
Pu Ta S
2 2 7
Direct
0.216 0.000 0.216 Pu
0.784 0.000 0.784 Pu
0.286 0.286 0.000 Ta
0.670 0.170 0.500 Ta
0.084 0.701 0.384 S
0.317 0.701 0.616 S
0.411 0.517 0.894 S
0.600 0.277 0.323 S
0.623 0.517 0.106 S
0.881 0.881 0.000 S
0.955 0.277 0.677 S
```

Results
**Formation energy without anion corrections**: -12.5 eV/f.u.
**Space group**: Imm2, No. 44

Density functional theory data (PBE) for an optimized crystal structure of La8Ge3SI4.

The structure in POSCAR format:
```
La8Ge3SI4
1.0
4.392 2.536 7.829
-4.392 2.536 7.829
0.000 -5.072 7.829
La Ge S I
8 3 1 4
Direct
0.235 0.235 0.235 La
0.241 0.729 0.729 La
0.271 0.271 0.759 La
0.271 0.759 0.271 La
0.729 0.241 0.729 La
0.729 0.729 0.241 La
0.759 0.271 0.271 La
0.765 0.765 0.765 La
0.000 0.000 0.500 Ge
0.000 0.500 0.000 Ge
0.500 0.000 0.000 Ge
0.500 0.500 0.500 S
0.000 0.000 0.000 I
0.000 0.500 0.500 I
0.500 0.000 0.500 I
0.500 0.500 0.000 I
```

Results
**Formation energy without anion corrections**: -19.8 eV/f.u.
**Space group**: R-3m, No. 166

Density functional theory data (PBE) for an optimized crystal structure of Cs3RbH6Au2.

The structure in POSCAR format:
```
Cs3RbH6Au2
1.0
6.748 0.000 0.000
-3.374 5.844 0.000
0.000 0.000 7.860
Cs Rb H Au
3 1 6 2
Direct
0.000 0.000 0.000 Cs
0.333 0.667 0.721 Cs
0.667 0.333 0.279 Cs
0.000 0.000 0.500 Rb
0.185 0.369 0.266 H
0.185 0.815 0.266 H
0.369 0.185 0.734 H
0.631 0.815 0.266 H
0.815 0.185 0.734 H
0.815 0.631 0.734 H
0.333 0.667 0.265 Au
0.667 0.333 0.735 Au
```

Results
**Space group**: P-3m1, No. 164

Density functional theory data (PBE) for an optimized crystal structure of Li5Al3.

The structure in POSCAR format:
```
Li5Al3
1.0
3.397 -4.338 0.000
3.397 4.338 0.000
0.000 0.000 4.312
Li Al
5 3
Direct
0.000 0.000 0.000 Li
0.000 0.500 0.000 Li
0.234 0.234 0.500 Li
0.500 0.000 0.000 Li
0.766 0.766 0.500 Li
0.267 0.733 0.500 Al
0.500 0.500 0.000 Al
0.733 0.267 0.500 Al
```

Results
**ΔE to the lowest computed polymorph**: 0.0 meV/atom
**Space group**: Cmmm, No. 65
**Formation energy from the elements**: -0.119 eV/atom

Density functional theory data (PBE) for an optimized crystal structure of TbPdC.

The structure in POSCAR format:
```
TbPdC
1.0
3.890 -1.822 0.000
3.890 1.822 0.000
-0.090 0.000 7.624
Tb Pd C
2 2 2
Direct
0.153 0.153 0.188 Tb
0.847 0.847 0.812 Tb
0.154 0.154 0.584 Pd
0.846 0.846 0.416 Pd
0.424 0.424 0.039 C
0.576 0.576 0.961 C
```

Results
**Space group**: C2/m, No. 12
**Formation energy from the elements**: -0.306 eV/atom

Density functional theory data (PBE) for an optimized crystal structure of Cd2AgMo.

The structure in POSCAR format:
```
Cd2AgMo
1.0
-2.230 2.230 3.844
2.230 -2.230 3.844
2.230 2.230 -3.844
Cd Ag Mo
2 1 1
Direct
0.000 0.000 0.000 Cd
0.750 0.250 0.500 Cd
0.500 0.500 0.000 Ag
0.250 0.750 0.500 Mo
```

Results
**ΔE to the lowest computed polymorph**: 295.2 meV/atom
**Space group**: I-4m2, No. 119
**Formation energy from the elements**: 0.525 eV/atom

Density functional theory data (PBE) for an optimized crystal structure of HoCuBiAu.

The structure in POSCAR format:
```
HoCuBiAu
1.0
0.000 3.532 3.532
3.532 0.000 3.532
3.532 3.532 0.000
Ho Cu Bi Au
1 1 1 1
Direct
0.000 0.000 0.000 Ho
0.250 0.250 0.250 Cu
0.500 0.500 0.500 Bi
0.750 0.750 0.750 Au
```

Results
**Space group**: F-43m, No. 216
**Formation energy from the elements**: -0.339 eV/atom

Density functional theory data (PBE) for an optimized crystal structure of PmEu2.

The structure in POSCAR format:
```
PmEu2
1.0
0.000 4.915 4.915
4.915 0.000 4.915
4.915 4.915 0.000
Pm Eu
2 4
Direct
0.125 0.125 0.125 Pm
0.875 0.875 0.875 Pm
0.000 0.500 0.500 Eu
0.500 0.000 0.500 Eu
0.500 0.500 0.000 Eu
0.500 0.500 0.500 Eu
```

Results
**ΔE to the lowest computed polymorph**: 216.2 meV/atom
**Space group**: Fd-3m, No. 227
**Formation energy from the elements**: 0.279 eV/atom

Density functional theory data (PBE) for an optimized crystal structure of ScTlOF2.

The structure in POSCAR format:
```
ScTlOF2
1.0
4.322 0.000 0.000
0.000 4.322 0.000
0.000 0.000 4.072
Sc Tl O F
1 1 1 2
Direct
0.000 0.000 0.000 Sc
0.500 0.500 0.500 Tl
0.000 0.000 0.500 O
0.000 0.500 0.000 F
0.500 0.000 0.000 F
```

Results
**Formation energy without anion corrections**: -14.2 eV/f.u.
**ΔE to the lowest computed polymorph**: 0.0 meV/atom
**Space group**: P4/mmm, No. 123

Density functional theory data (PBE) for an optimized crystal structure of LaInCu.

The structure in POSCAR format:
```
LaInCu
1.0
4.758 0.000 0.000
-2.379 4.120 0.000
0.000 0.000 3.826
La In Cu
1 1 1
Direct
0.000 0.000 0.000 La
0.333 0.667 0.500 In
0.667 0.333 0.500 Cu
```

Results
**Space group**: P-6m2, No. 187
**Formation energy from the elements**: -0.344 eV/atom

Number 1: electronic total energy -2.80 eV/atom. Number 2: electronic total energy -3.37 eV/atom. Number 3: electronic total energy -8.52 eV/atom. Number 4: electronic total energy -5.21 eV/atom. Number 5: electronic total energy -2.73 eV/atom. Number 6: electronic total energy -2.72 eV/atom. Number 7: electronic total energy -6.66 eV/atom. Number 8: electronic total energy -3.35 eV/atom. Number 9: electronic total energy -4.30 eV/atom. Number 10: electronic total energy -8.15 eV/atom. Number 11: electronic total energy -6.33 eV/atom. Number 12: electronic total energy -4.26 eV/atom.